(1)
Entry from Alexandria: ZrAgPt at its PBEsol-relaxed geometry (SCAN).

Values from the calculation:
Formation energy from the elements = -0.24 eV per atom
Distance to the lowest polymorph of the same formula = 3 meV per atom
VASP energy = -44.3283 eV/atom

a = 6.288 Å, b = 6.288 Å, c = 6.288 Å
α = 90.00°, β = 90.00°, γ = 90.00°
Space group F-43m (No. 216)
Inequivalent atoms, fractional coordinates:
Zr: 0.000 0.000 0.000
Ag: 0.250 0.250 0.750
Pt: 0.250 0.250 0.250

=====

(2)
Entry from Alexandria: ZrAgPt2 at its PBEsol-relaxed geometry (SCAN).

Values from the calculation:
Formation energy from the elements = -0.82 eV per atom
VASP energy = -51.4339 eV/atom

a = 3.925 Å, b = 3.925 Å, c = 8.500 Å
α = 90.00°, β = 90.00°, γ = 90.00°
Space group I-4m2 (No. 119)
Inequivalent atoms, fractional coordinates:
Zr: 0.000 0.000 0.000
Ag: 0.000 0.500 0.250
Pt: 0.000 0.000 0.500
Pt: 0.000 0.500 0.750

=====

(3)
Entry from Alexandria: ZrAgPt4 at its PBEsol-relaxed geometry (SCAN).

Values from the calculation:
Formation energy from the elements = -0.71 eV per atom
VASP energy = -57.8450 eV/atom

a = 7.370 Å, b = 7.370 Å, c = 7.370 Å
α = 90.00°, β = 90.00°, γ = 90.00°
Space group F-43m (No. 216)
Inequivalent atoms, fractional coordinates:
Zr: 0.000 0.000 0.000
Ag: 0.250 0.250 0.250
Pt: 0.125 0.125 0.625

=====

(4)
Entry from Alexandria: ZrAgPt2 at its PBEsol-relaxed geometry (SCAN).

Values from the calculation:
Formation energy from the elements = -0.56 eV per atom
VASP energy = -51.1754 eV/atom

a = 6.443 Å, b = 6.443 Å, c = 6.443 Å
α = 90.00°, β = 90.00°, γ = 90.00°
Space group F-43m (No. 216)
Inequivalent atoms, fractional coordinates:
Zr: 0.000 0.000 0.000
Ag: 0.250 0.250 0.750
Pt: 0.000 0.000 0.500
Pt: 0.250 0.250 0.250

=====

(5)
Entry from Alexandria: Zr2AgPt at its PBEsol-relaxed geometry (SCAN).

Values from the calculation:
Formation energy from the elements = -0.60 eV per atom
VASP energy = -41.3367 eV/atom

a = 2.917 Å, b = 4.050 Å, c = 6.156 Å
α = 90.00°, β = 90.00°, γ = 90.00°
Space group Pmmm (No. 47)
Inequivalent atoms, fractional coordinates:
Zr: 0.000 0.000 0.240
Ag: 0.500 0.500 0.500
Pt: 0.500 0.500 0.000

=====

(6)
Entry from Alexandria: ZrAgPt2 at its PBEsol-relaxed geometry (SCAN).

Values from the calculation:
Formation energy from the elements = -0.87 eV per atom
VASP energy = -51.4836 eV/atom

a = 3.374 Å, b = 3.496 Å, c = 5.681 Å
α = 90.00°, β = 90.00°, γ = 90.00°
Space group Pmmm (No. 47)
Inequivalent atoms, fractional coordinates:
Zr: 0.000 0.000 0.000
Ag: 0.000 0.000 0.500
Pt: 0.500 0.500 0.252

=====

(7)
Entry from Alexandria: ZrAg2Pt at its PBEsol-relaxed geometry (SCAN).

Values from the calculation:
Formation energy from the elements = -0.29 eV per atom
VASP energy = -41.1961 eV/atom

a = 9.439 Å, b = 2.933 Å, c = 5.054 Å
α = 90.00°, β = 100.88°, γ = 90.00°
Space group Cm (No. 8)
Inequivalent atoms, fractional coordinates:
Zr: 0.000 0.000 0.000
Ag: 0.239 0.000 0.700
Ag: 0.489 0.000 0.490
Pt: 0.247 0.500 0.204

=====

(8)
Entry from Alexandria: Zr2AgPt at its PBEsol-relaxed geometry (SCAN).

Values from the calculation:
Formation energy from the elements = -0.23 eV per atom
VASP energy = -40.9691 eV/atom

a = 2.9974 Å, b = 2.9974 Å, c = 28.6239 Å
α = 90.00°, β = 90.00°, γ = 120.00°
Space group R-3m (No. 166, hexagonal axes)
Inequivalent atoms, fractional coordinates:
Zr: 0.0000 0.0000 0.2467
Ag: 0.0000 0.0000 0.0000
Pt: 0.0000 0.0000 0.5000

=====

(9)
Entry from Alexandria: Zr2AgPt2 at its PBEsol-relaxed geometry (SCAN).

Values from the calculation:
Formation energy from the elements = -1.01 eV per atom
VASP energy = -47.6365 eV/atom

a = 7.495 Å, b = 7.495 Å, c = 3.290 Å
α = 90.00°, β = 90.00°, γ = 90.00°
Space group P4/mbm (No. 127)
Inequivalent atoms, fractional coordinates:
Zr: 0.169 0.331 0.000
Ag: 0.000 0.000 0.500
Pt: 0.132 0.632 0.500

=====

(10)
Entry from Alexandria: Rb3Ag at its PBEsol-relaxed geometry (SCAN).

Values from the calculation:
Formation energy from the elements = 0.17 eV per atom
VASP energy = -23.2298 eV/atom

a = 5.894 Å, b = 5.894 Å, c = 5.894 Å
α = 90.00°, β = 90.00°, γ = 90.00°
Space group Pm-3m (No. 221)
Inequivalent atoms, fractional coordinates:
Rb: 0.000 0.000 0.500
Ag: 0.500 0.500 0.500

=====

(11)
Entry from Alexandria: Rb3ReAg at its PBEsol-relaxed geometry (SCAN).

Values from the calculation:
Formation energy from the elements = 1.51 eV per atom
VASP energy = -31.4267 eV/atom

a = 6.340 Å, b = 6.340 Å, c = 6.340 Å
α = 90.00°, β = 90.00°, γ = 90.00°
Space group Pm-3m (No. 221)
Inequivalent atoms, fractional coordinates:
Rb: 0.000 0.000 0.500
Re: 0.000 0.000 0.000
Ag: 0.500 0.500 0.500

=====

(12)
Entry from Alexandria: RbRe3Ag at its PBEsol-relaxed geometry (SCAN).

Values from the calculation:
Formation energy from the elements = 4.41 eV per atom
VASP energy = -48.6662 eV/atom

a = 4.622 Å, b = 4.622 Å, c = 4.622 Å
α = 90.00°, β = 90.00°, γ = 90.00°
Space group Pm-3m (No. 221)
Inequivalent atoms, fractional coordinates:
Rb: 0.000 0.000 0.000
Re: 0.000 0.000 0.500
Ag: 0.500 0.500 0.500